[1]
# Si2TeBr PBE optimized geometry
# * total DFT energy (no corrections): -14.48 eV per formula unit
# * ΔE to the lowest computed polymorph: 1.41 eV/f.u.
data_Si2TeBr
_chemical_formula_sum 'Si2 Te1 Br1'
_cell_length_a 5.330
_cell_length_b 3.717
_cell_length_c 5.883
_cell_angle_alpha 90.00
_cell_angle_beta 94.41
_cell_angle_gamma 90.00
_space_group_name_H-M_alt 'P 1 2/m 1'
_space_group_IT_number 10
loop_
_space_group_symop_operation_xyz
'x,y,z'
'-x,-y,-z'
'-x,y,-z'
'x,-y,z'
loop_
_atom_site_label
_atom_site_type_symbol
_atom_site_fract_x
_atom_site_fract_y
_atom_site_fract_z
_atom_site_occupancy
Si1 Si 0.149 0.000 0.351 1
Te1 Te 0.500 0.500 0.500 1
Br1 Br 0.000 0.500 0.000 1

[2]
# Si2TeBr PBE optimized geometry
# * total DFT energy (no corrections): -13.96 eV per formula unit
# * ΔE to the lowest computed polymorph: 1.93 eV/f.u.
data_Si2TeBr
_chemical_formula_sum 'Si4 Te2 Br2'
_cell_length_a 3.601
_cell_length_b 5.152
_cell_length_c 12.204
_cell_angle_alpha 90.00
_cell_angle_beta 90.00
_cell_angle_gamma 90.00
_space_group_name_H-M_alt 'I m m 2'
_space_group_IT_number 44
loop_
_space_group_symop_operation_xyz
'x,y,z'
'-x,-y,z'
'-x,y,z'
'x,-y,z'
'x+1/2,y+1/2,z+1/2'
'-x+1/2,-y+1/2,z+1/2'
'-x+1/2,y+1/2,z+1/2'
'x+1/2,-y+1/2,z+1/2'
loop_
_atom_site_label
_atom_site_type_symbol
_atom_site_fract_x
_atom_site_fract_y
_atom_site_fract_z
_atom_site_occupancy
Si1 Si 0.000 0.000 0.000 1
Si2 Si 0.000 0.500 0.351 1
Te1 Te 0.000 0.500 0.653 1
Br1 Br 0.000 0.000 0.423 1

[3]
# SiTeBr PBE optimized geometry
# * total DFT energy (no corrections): -9.08 eV per formula unit
# * ΔE to the lowest computed polymorph: 1.85 eV/f.u.
data_SiTeBr
_chemical_formula_sum 'Si1 Te1 Br1'
_cell_length_a 5.0636
_cell_length_b 5.0636
_cell_length_c 3.2511
_cell_angle_alpha 90.00
_cell_angle_beta 90.00
_cell_angle_gamma 120.00
_space_group_name_H-M_alt 'P 3 m 1'
_space_group_IT_number 156
loop_
_space_group_symop_operation_xyz
'x,y,z'
'-y,x-y,z'
'-x+y,-x,z'
'-y,-x,z'
'-x+y,y,z'
'x,x-y,z'
loop_
_atom_site_label
_atom_site_type_symbol
_atom_site_fract_x
_atom_site_fract_y
_atom_site_fract_z
_atom_site_occupancy
Si1 Si 0.0000 0.0000 0.0000 1
Te1 Te 0.6667 0.3333 0.1652 1
Br1 Br 0.3333 0.6667 0.6846 1

[4]
# SiTeBr PBE optimized geometry
# * total DFT energy (no corrections): -9.38 eV per formula unit
# * ΔE to the lowest computed polymorph: 1.55 eV/f.u.
data_SiTeBr
_chemical_formula_sum 'Si2 Te2 Br2'
_cell_length_a 3.405
_cell_length_b 3.405
_cell_length_c 14.930
_cell_angle_alpha 90.00
_cell_angle_beta 90.00
_cell_angle_gamma 90.00
_space_group_name_H-M_alt 'I 4 m m'
_space_group_IT_number 107
_space_group_name_Hall 'I 4 -2'
loop_
_atom_site_label
_atom_site_type_symbol
_atom_site_fract_x
_atom_site_fract_y
_atom_site_fract_z
_atom_site_occupancy
Si1 Si 0.000 0.000 0.000 1
Te1 Te 0.000 0.000 0.629 1
Br1 Br 0.000 0.000 0.386 1

[5]
# SiTe2Br PBE optimized geometry
# * total DFT energy (no corrections): -12.50 eV per formula unit
# * ΔE to the lowest computed polymorph: 0.95 eV/f.u.
data_SiTe2Br
_chemical_formula_sum 'Si1 Te2 Br1'
_cell_length_a 3.747
_cell_length_b 3.747
_cell_length_c 7.571
_cell_angle_alpha 90.00
_cell_angle_beta 90.00
_cell_angle_gamma 90.00
_space_group_name_H-M_alt 'P 4/m m m'
_space_group_IT_number 123
_space_group_name_Hall '-P 4 2'
loop_
_atom_site_label
_atom_site_type_symbol
_atom_site_fract_x
_atom_site_fract_y
_atom_site_fract_z
_atom_site_occupancy
Si1 Si 0.000 0.000 0.000 1
Te1 Te 0.500 0.500 0.189 1
Br1 Br 0.000 0.000 0.500 1

[6]
# SiTe2Br PBE optimized geometry
# * total DFT energy (no corrections): -13.44 eV per formula unit
# * ΔE to the lowest computed polymorph: 0.00 eV/f.u.
data_SiTe2Br
_chemical_formula_sum 'Si1 Te2 Br1'
_cell_length_a 5.470
_cell_length_b 3.921
_cell_length_c 5.764
_cell_angle_alpha 90.00
_cell_angle_beta 104.66
_cell_angle_gamma 90.00
_space_group_name_H-M_alt 'P 1 2/m 1'
_space_group_IT_number 10
loop_
_space_group_symop_operation_xyz
'x,y,z'
'-x,-y,-z'
'-x,y,-z'
'x,-y,z'
loop_
_atom_site_label
_atom_site_type_symbol
_atom_site_fract_x
_atom_site_fract_y
_atom_site_fract_z
_atom_site_occupancy
Si1 Si 0.000 0.000 0.000 1
Te1 Te 0.167 0.500 0.357 1
Br1 Br 0.500 0.000 0.000 1

[7]
# SiTe2Br PBE optimized geometry
# * total DFT energy (no corrections): -11.68 eV per formula unit
# * ΔE to the lowest computed polymorph: 1.76 eV/f.u.
data_SiTe2Br
_chemical_formula_sum 'Si3 Te6 Br3'
_cell_length_a 3.2099
_cell_length_b 3.2099
_cell_length_c 35.1839
_cell_angle_alpha 90.00
_cell_angle_beta 90.00
_cell_angle_gamma 120.00
_space_group_name_H-M_alt 'R -3 m'
_space_group_IT_number 166
_space_group_name_Hall '-R 3 2"'
loop_
_atom_site_label
_atom_site_type_symbol
_atom_site_fract_x
_atom_site_fract_y
_atom_site_fract_z
_atom_site_occupancy
Si1 Si 0.0000 0.0000 0.0000 1
Te1 Te 0.0000 0.0000 0.0756 1
Br1 Br 0.0000 0.0000 0.5000 1

[8]
# SiTeBr PBE optimized geometry
# * total DFT energy (no corrections): -9.37 eV per formula unit
# * ΔE to the lowest computed polymorph: 1.56 eV/f.u.
data_SiTeBr
_chemical_formula_sum 'Si4 Te4 Br4'
_cell_length_a 6.926
_cell_length_b 6.926
_cell_length_c 6.926
_cell_angle_alpha 90.00
_cell_angle_beta 90.00
_cell_angle_gamma 90.00
_space_group_name_H-M_alt 'F -4 3 m'
_space_group_IT_number 216
_space_group_name_Hall 'F -4 2 3'
loop_
_atom_site_label
_atom_site_type_symbol
_atom_site_fract_x
_atom_site_fract_y
_atom_site_fract_z
_atom_site_occupancy
Si1 Si 0.000 0.000 0.000 1
Te1 Te 0.250 0.250 0.250 1
Br1 Br 0.250 0.250 0.750 1

[9]
# SiTe2Br PBE optimized geometry
# * total DFT energy (no corrections): -12.61 eV per formula unit
# * ΔE to the lowest computed polymorph: 0.84 eV/f.u.
data_SiTe2Br
_chemical_formula_sum 'Si2 Te4 Br2'
_cell_length_a 11.230
_cell_length_b 3.713
_cell_length_c 5.688
_cell_angle_alpha 90.00
_cell_angle_beta 103.65
_cell_angle_gamma 90.00
_space_group_name_H-M_alt 'C 1 2/m 1'
_space_group_IT_number 12
loop_
_space_group_symop_operation_xyz
'x,y,z'
'-x,-y,-z'
'-x,y,-z'
'x,-y,z'
'x+1/2,y+1/2,z'
'-x+1/2,-y+1/2,-z'
'-x+1/2,y+1/2,-z'
'x+1/2,-y+1/2,z'
loop_
_atom_site_label
_atom_site_type_symbol
_atom_site_fract_x
_atom_site_fract_y
_atom_site_fract_z
_atom_site_occupancy
Si1 Si 0.000 0.000 0.000 1
Te1 Te 0.182 0.500 0.150 1
Br1 Br 0.000 0.500 0.500 1

[10]
# SiTe2Br PBE optimized geometry
# * total DFT energy (no corrections): -12.32 eV per formula unit
# * ΔE to the lowest computed polymorph: 1.13 eV/f.u.
data_SiTe2Br
_chemical_formula_sum 'Si2 Te4 Br2'
_cell_length_a 3.709
_cell_length_b 5.483
_cell_length_c 10.549
_cell_angle_alpha 90.00
_cell_angle_beta 90.00
_cell_angle_gamma 90.00
_space_group_name_H-M_alt 'I m m m'
_space_group_IT_number 71
_space_group_name_Hall '-I 2 2'
loop_
_atom_site_label
_atom_site_type_symbol
_atom_site_fract_x
_atom_site_fract_y
_atom_site_fract_z
_atom_site_occupancy
Si1 Si 0.000 0.000 0.000 1
Te1 Te 0.000 0.500 0.310 1
Br1 Br 0.000 0.000 0.500 1

[11]
# SiTeBr PBE optimized geometry
# * total DFT energy (no corrections): -8.70 eV per formula unit
# * ΔE to the lowest computed polymorph: 2.23 eV/f.u.
data_SiTeBr
_chemical_formula_sum 'Si4 Te4 Br4'
_cell_length_a 7.097
_cell_length_b 7.097
_cell_length_c 7.097
_cell_angle_alpha 90.00
_cell_angle_beta 90.00
_cell_angle_gamma 90.00
_space_group_name_H-M_alt 'F -4 3 m'
_space_group_IT_number 216
_space_group_name_Hall 'F -4 2 3'
loop_
_atom_site_label
_atom_site_type_symbol
_atom_site_fract_x
_atom_site_fract_y
_atom_site_fract_z
_atom_site_occupancy
Si1 Si 0.000 0.000 0.000 1
Te1 Te 0.250 0.250 0.750 1
Br1 Br 0.000 0.000 0.500 1

[12]
# Si2TeBr PBE optimized geometry
# * total DFT energy (no corrections): -13.58 eV per formula unit
# * ΔE to the lowest computed polymorph: 2.31 eV/f.u.
data_Si2TeBr
_chemical_formula_sum 'Si4 Te2 Br2'
_cell_length_a 6.822
_cell_length_b 7.880
_cell_length_c 5.172
_cell_angle_alpha 90.00
_cell_angle_beta 130.76
_cell_angle_gamma 90.00
_space_group_name_H-M_alt 'C 1 2/m 1'
_space_group_IT_number 12
loop_
_space_group_symop_operation_xyz
'x,y,z'
'-x,-y,-z'
'-x,y,-z'
'x,-y,z'
'x+1/2,y+1/2,z'
'-x+1/2,-y+1/2,-z'
'-x+1/2,y+1/2,-z'
'x+1/2,-y+1/2,z'
loop_
_atom_site_label
_atom_site_type_symbol
_atom_site_fract_x
_atom_site_fract_y
_atom_site_fract_z
_atom_site_occupancy
Si1 Si 0.250 0.250 0.000 1
Te1 Te 0.000 0.000 0.500 1
Br1 Br 0.000 0.500 0.500 1

Computed total magnetic moment, in the same sequence as the records: 0.000; 0.000; 0.000; 0.000; 0.000; 0.000; 0.000; 0.000; 0.000; 0.000; 0.000; 0.000 μB/cell.
Computed energy relative to the elements, uncorrected, in the same sequence as the records: 0.296; 0.425; 0.387; 0.287; 0.221; -0.016; 0.424; 0.291; 0.193; 0.266; 0.512; 0.519 eV per atom.